DFT (GGA+U) results for an optimized crystal structure of SrHgW2O8.

## Properties
Calculated total energy: -6.518 eV per atom
Total moment: 0.000 μB/f.u.
Density of states at the Fermi level: 0.00 states/eV per cell

Cell and atoms, written as CIF:
```
data_SrHgW2O8
_chemical_formula_sum 'Sr1 Hg1 W2 O8'
_space_group_name_H-M_alt 'P 1'
_space_group_IT_number 1
_space_group_name_Hall 'P 1'
_cell_length_a 6.4082
_cell_length_b 6.4082
_cell_length_c 6.4082
_cell_angle_alpha 107.35
_cell_angle_beta 107.35
_cell_angle_gamma 113.80
loop_
_atom_site_label
_atom_site_fract_x
_atom_site_fract_y
_atom_site_fract_z
O1 0.3435 0.1534 0.8099
O2 0.9092 0.5992 0.6900
W1 0.7500 0.2500 0.5000
O3 0.4663 0.6565 0.8099
Hg1 0.0000 0.0000 0.0000
W2 0.5000 0.5000 0.0000
Sr1 0.2500 0.7500 0.5000
O4 0.7808 0.0908 0.6900
O5 0.4008 0.0908 0.3100
O6 0.8466 0.6565 0.1901
O7 0.3435 0.5337 0.1901
O8 0.9092 0.2192 0.3100
```